No. 1
The following is a DFT calculation (PBE) of a geometry-optimized CeNdPuPa structure.

Geometry as POSCAR:
```
CeNdPuPa
1.0
-2.8146 4.0983 -2.1045
-5.3960 -0.1696 -0.0384
-2.8267 3.2738 3.2309
Pa Pu Ce Nd
1 1 1 1
Direct
0.7500 0.7500 0.7500
0.0000 0.0000 0.0000
0.5000 0.5000 0.5000
0.2500 0.2500 0.2500
```

Properties
Space group   F-43m (216)
Formation energy from the elements   0.34 eV per atom



No. 2
The following is a DFT calculation (PBE) of a geometry-optimized SrZr2Pt structure.

Geometry as POSCAR:
```
SrZr2Pt
1.0
7.7325 -0.0246 -0.0150
6.5157 4.1637 -0.0150
6.5157 1.8928 3.7087
Pt Zr Sr
1 2 1
Direct
0.2500 0.2500 0.2500
0.9623 0.9623 0.9623
0.5377 0.5377 0.5377
0.7500 0.7500 0.7500
```

Properties
Space group   R-3m (166)
Formation energy from the elements   -0.13 eV per atom



No. 3
The following is a DFT calculation (PBE) of a geometry-optimized NiAgTe structure.

Geometry as POSCAR:
```
NiAgTe
1.0
4.3575 0.0000 0.0000
2.1787 3.7737 0.0000
2.1787 1.2579 3.5579
Te Ag Ni
1 1 1
Direct
0.0000 0.0000 0.0000
0.5000 0.5000 0.5000
0.7500 0.7500 0.7500
```

Properties
Raw total energy   -11.84 eV/cell
Space group   F-43m (216)



No. 4
The following is a DFT calculation (PBE) of a geometry-optimized PaCu2GeO8 structure.

Geometry as POSCAR:
```
PaCu2GeO8
1.0
5.7157 0.5556 0.0000
-2.0371 5.3692 0.0000
-1.8393 -2.9624 4.5628
O Ge Cu Pa
8 1 2 1
Direct
0.3691 0.0521 0.3170
0.2992 0.5073 0.2081
0.9479 0.2649 0.3170
0.4927 0.7008 0.7919
0.9479 0.6309 0.6830
0.2992 0.0912 0.7919
0.9088 0.7008 0.2081
0.7351 0.0521 0.6830
0.2500 0.7500 0.5000
0.5000 0.5000 0.0000
0.7500 0.2500 0.5000
0.0000 0.0000 0.0000
```

Properties
Raw total energy   -76.82 eV/cell
Space group   I-4m2 (119)



No. 5
The following is a DFT calculation (PBE) of a geometry-optimized TbTh2Ru structure.

Geometry as POSCAR:
```
TbTh2Ru
1.0
-2.7495 4.2039 -3.8107
1.2764 -4.2986 -5.6632
-8.6939 -4.4207 1.3960
Ru Th Tb
4 8 4
Direct
0.8843 0.6137 0.7500
0.3843 0.8863 0.2500
0.6157 0.1137 0.7500
0.1157 0.3863 0.2500
0.8374 0.3281 0.5622
0.1626 0.6719 0.4378
0.3374 0.1719 0.0622
0.3374 0.1719 0.4378
0.6626 0.8281 0.5622
0.1626 0.6719 0.0622
0.8374 0.3281 0.9378
0.6626 0.8281 0.9378
0.3529 0.4601 0.7500
0.6471 0.5399 0.2500
0.1471 0.9601 0.7500
0.8529 0.0399 0.2500
```

Properties
Space group   Pnma (62)
Formation energy from the elements   -0.30 eV per atom



No. 6
The following is a DFT calculation (PBE) of a geometry-optimized PmSm2Sc structure.

Geometry as POSCAR:
```
PmSm2Sc
1.0
3.5552 0.0000 0.0000
1.7776 3.0789 0.0000
1.7776 1.0263 11.4677
Sc Pm Sm
1 1 2
Direct
0.5000 0.5000 0.5000
0.0000 0.0000 0.0000
0.7541 0.7541 0.7376
0.2459 0.2459 0.2624
```

Properties
Space group   R-3m (166)
Formation energy from the elements   0.05 eV per atom